# GGA-PBE Na3AcCu4Cl12, optimized geometry
# Volume in A^3/atom: 29.27
# Fermi-level density of states in states/eV per cell: 27.9
# Raw formation energy in meV/atom: -1196.4
# Spin magnetization in μB/f.u.: 2.10
data_Na3AcCu4Cl12
_symmetry_space_group_name_H-M 'R 3 2'
_symmetry_Int_Tables_number 155
_symmetry_space_group_name_Hall 'R 3 2"'
_cell_length_a 13.6287
_cell_length_b 13.6287
_cell_length_c 10.9167
_cell_angle_alpha 90.00
_cell_angle_beta 90.00
_cell_angle_gamma 120.00
loop_
_atom_site_label
_atom_site_fract_x
_atom_site_fract_y
_atom_site_fract_z
Na1 0.0000 0.5620 0.0000
Ac1 0.0000 0.0000 0.0000
Cu1 0.0000 0.0000 0.5000
Cu2 0.0000 0.4381 0.5000
Cl1 0.0000 0.5997 0.5000
Cl2 0.0000 0.8405 0.5000
Cl3 0.0350 0.1892 0.1632

# GGA-PBE Tb2EuFe, optimized geometry
# Volume in A^3/atom: 27.67
# Fermi-level density of states in states/eV per cell: 5.6
# Spin magnetization in μB/f.u.: 8.90
# Energy relative to the elements in meV per atom: 89
data_Tb2EuFe
_symmetry_space_group_name_H-M 'P 4/m m m'
_symmetry_Int_Tables_number 123
_symmetry_space_group_name_Hall '-P 4 2'
_cell_length_a 3.4665
_cell_length_b 3.4665
_cell_length_c 9.2110
_cell_angle_alpha 90.00
_cell_angle_beta 90.00
_cell_angle_gamma 90.00
loop_
_atom_site_label
_atom_site_fract_x
_atom_site_fract_y
_atom_site_fract_z
Tb1 0.0000 0.0000 0.1750
Eu1 0.5000 0.5000 0.5000
Fe1 0.5000 0.5000 0.0000

# GGA-PBE TlRhCl4, optimized geometry
# Volume in A^3/atom: 35.04
# Fermi-level density of states in states/eV per cell: 7.7
# Raw formation energy in meV/atom: -522.2
# Spin magnetization in μB/f.u.: 2.00
data_TlRhCl4
_symmetry_space_group_name_H-M 'I -4'
_symmetry_Int_Tables_number 82
_symmetry_space_group_name_Hall 'I -4'
_cell_length_a 7.5075
_cell_length_b 7.5075
_cell_length_c 7.4606
_cell_angle_alpha 90.00
_cell_angle_beta 90.00
_cell_angle_gamma 90.00
loop_
_atom_site_label
_atom_site_fract_x
_atom_site_fract_y
_atom_site_fract_z
Tl1 0.0000 0.0000 0.0000
Rh1 0.0000 0.5000 0.2500
Cl1 0.1890 0.2660 0.2939

# GGA-PBE SrAl4Pd6, optimized geometry
# Volume in A^3/atom: 16.97
# Fermi-level density of states in states/eV per cell: 2.8
# Spin magnetization in μB/f.u.: 0.00
# Energy relative to the elements in meV per atom: -821
data_SrAl4Pd6
_symmetry_space_group_name_H-M 'P -6 m 2'
_symmetry_Int_Tables_number 187
_symmetry_space_group_name_Hall 'P -6 2'
_cell_length_a 7.3786
_cell_length_b 7.3786
_cell_length_c 3.9595
_cell_angle_alpha 90.00
_cell_angle_beta 90.00
_cell_angle_gamma 120.00
loop_
_atom_site_label
_atom_site_fract_x
_atom_site_fract_y
_atom_site_fract_z
Sr1 0.0000 0.0000 0.0000
Al1 0.3333 0.6667 0.0000
Al2 0.4068 0.2034 0.5000
Pd1 0.2011 0.4022 0.5000
Pd2 0.5330 0.0660 0.0000

Please write out number 4 again, unchanged.
# GGA-PBE SrAl4Pd6, optimized geometry
# Volume in A^3/atom: 16.97
# Fermi-level density of states in states/eV per cell: 2.8
# Spin magnetization in μB/f.u.: 0.00
# Energy relative to the elements in meV per atom: -821
data_SrAl4Pd6
_symmetry_space_group_name_H-M 'P -6 m 2'
_symmetry_Int_Tables_number 187
_symmetry_space_group_name_Hall 'P -6 2'
_cell_length_a 7.3786
_cell_length_b 7.3786
_cell_length_c 3.9595
_cell_angle_alpha 90.00
_cell_angle_beta 90.00
_cell_angle_gamma 120.00
loop_
_atom_site_label
_atom_site_fract_x
_atom_site_fract_y
_atom_site_fract_z
Sr1 0.0000 0.0000 0.0000
Al1 0.3333 0.6667 0.0000
Al2 0.4068 0.2034 0.5000
Pd1 0.2011 0.4022 0.5000
Pd2 0.5330 0.0660 0.0000

> Which value of Fermi-level density of states does entry 3 give?

7.7 states/eV per cell

> The lowest spin magnetization belongs to which entry?

SrAl4Pd6